(1)
CaMg2HPd: relaxed, PBE.

For the total energy, the calculation gives -3.050 eV/atom.

It has space group P4/mmm (No. 123), with a = 4.3695 Å, b = 4.3695 Å, c = 4.5686 Å, α = 90.00°, β = 90.00° and γ = 90.00°. The asymmetric unit holds Ca at (0.0000, 0.0000, 0.0000), Mg at (0.0000, 0.5000, 0.5000), H at (0.0000, 0.0000, 0.5000) and Pd at (0.5000, 0.5000, 0.0000).



(2)
CaMgH6Pt2: relaxed, PBE.

For the total energy, the calculation gives -4.000 eV/atom.

It has space group R-3m (No. 166, hexagonal axes), with a = 4.5636 Å, b = 4.5636 Å, c = 16.4396 Å, α = 90.00°, β = 90.00° and γ = 120.00°. The asymmetric unit holds Ca at (0.0000, 0.0000, 0.0000), Mg at (0.0000, 0.0000, 0.5000), H at (0.0029, 0.5015, 0.0630) and Pt at (0.0000, 0.0000, 0.2115).



(3)
CaMgH8Pt2: relaxed, PBE.

For the total energy, the calculation gives -3.688 eV/atom.

It has space group R-3 (No. 148, hexagonal axes), with a = 4.8692 Å, b = 4.8692 Å, c = 17.2070 Å, α = 90.00°, β = 90.00° and γ = 120.00°. The asymmetric unit holds Ca at (0.0000, 0.0000, 0.0000), Mg at (0.0000, 0.0000, 0.5000), H at (0.0000, 0.0000, 0.3227), H at (0.0035, 0.3163, 0.0995) and Pt at (0.0000, 0.0000, 0.2306).



(4)
Rb3CaMg2H9: relaxed, PBE.

For the total energy, the calculation gives -2.845 eV/atom.

It has space group P-3m1 (No. 164), with a = 5.9702 Å, b = 5.9702 Å, c = 7.3345 Å, α = 90.00°, β = 90.00° and γ = 120.00°. The asymmetric unit holds Rb at (0.0000, 0.0000, 0.0000), Rb at (0.3333, 0.6667, 0.6747), Ca at (0.0000, 0.0000, 0.5000), Mg at (0.3333, 0.6667, 0.1617), H at (0.0000, 0.5000, 0.0000) and H at (0.1765, 0.3530, 0.3191).